(1)
This record from the Alexandria database describes Cd2Hg2Pb at its PBEsol-relaxed geometry. The functional is SCAN.

```
Cd2Hg2Pb
1.0
8.397 0.000 0.000
0.000 8.397 0.000
0.000 0.000 3.355
Cd Hg Pb
4 4 2
direct
0.166 0.334 0.000 Cd
0.334 0.834 0.000 Cd
0.666 0.166 0.000 Cd
0.834 0.666 0.000 Cd
0.131 0.631 0.500 Hg
0.369 0.131 0.500 Hg
0.631 0.869 0.500 Hg
0.869 0.369 0.500 Hg
0.000 0.000 0.500 Pb
0.500 0.500 0.500 Pb
```

Calculated values
ΔE_f in eV/atom: 0.04
Calculated total energy in eV for the cell shown: -545.5
Energy above the lowest structure with this stoichiometry in meV per atom: 0.0

---

(2)
This record from the Alexandria database describes CdHgPb2 at its PBEsol-relaxed geometry. The functional is SCAN.

```
CdHgPb2
1.0
1.722 -2.844 0.000
1.722 2.844 0.000
0.000 0.000 10.813
Cd Hg Pb
1 1 2
direct
0.000 0.000 0.000 Cd
0.000 0.000 0.500 Hg
0.500 0.500 0.245 Pb
0.500 0.500 0.755 Pb
```

Calculated values
ΔE_f in eV/atom: 0.06
Calculated total energy in eV for the cell shown: -249.9
Energy above the lowest structure with this stoichiometry in meV per atom: 24.9

---

(3)
This record from the Alexandria database describes CdHgPb2 at its PBEsol-relaxed geometry. The functional is SCAN.

```
CdHgPb2
1.0
3.681 0.000 0.000
0.000 3.681 0.000
0.000 0.000 7.628
Cd Hg Pb
1 1 2
direct
0.000 0.000 0.000 Cd
0.500 0.500 0.202 Hg
0.000 0.000 0.450 Pb
0.500 0.500 0.751 Pb
```

Calculated values
ΔE_f in eV/atom: 0.04
Calculated total energy in eV for the cell shown: -250.0
Energy above the lowest structure with this stoichiometry in meV per atom: 0.0

---

(4)
This record from the Alexandria database describes CdHgPb2 at its PBEsol-relaxed geometry. The functional is SCAN.

```
CdHgPb2
1.0
-2.391 2.391 4.506
2.391 -2.391 4.506
2.391 2.391 -4.506
Cd Hg Pb
1 1 2
direct
0.000 0.000 0.000 Cd
0.500 0.500 0.000 Hg
0.250 0.750 0.500 Pb
0.750 0.250 0.500 Pb
```

Calculated values
ΔE_f in eV/atom: 0.06
Calculated total energy in eV for the cell shown: -249.9
Energy above the lowest structure with this stoichiometry in meV per atom: 25.8

---

(5)
This record from the Alexandria database describes CdHgPb2 at its PBEsol-relaxed geometry. The functional is SCAN.

```
CdHgPb2
1.0
3.364 0.000 0.000
0.000 5.030 0.000
-1.558 0.000 6.146
Cd Hg Pb
1 1 2
direct
0.000 0.000 0.000 Cd
0.141 0.500 0.265 Hg
0.389 0.500 0.786 Pb
0.749 0.000 0.478 Pb
```

Calculated values
ΔE_f in eV/atom: 0.04
Calculated total energy in eV for the cell shown: -250.0
Energy above the lowest structure with this stoichiometry in meV per atom: 5.2

---

(6)
This record from the Alexandria database describes CdHgPb2 at its PBEsol-relaxed geometry. The functional is SCAN.

```
CdHgPb2
1.0
1.710 0.987 10.350
-1.710 0.987 10.350
0.000 -1.974 10.350
Cd Hg Pb
1 1 2
direct
0.000 0.000 0.000 Cd
0.500 0.500 0.500 Hg
0.250 0.250 0.250 Pb
0.750 0.750 0.750 Pb
```

Calculated values
ΔE_f in eV/atom: 0.06
Calculated total energy in eV for the cell shown: -249.9
Energy above the lowest structure with this stoichiometry in meV per atom: 24.8

---

(7)
This record from the Alexandria database describes CdHgPb2 at its PBEsol-relaxed geometry. The functional is SCAN.

```
CdHgPb2
1.0
5.632 -1.701 0.000
5.632 1.701 0.000
-1.614 0.000 5.397
Cd Hg Pb
1 1 2
direct
0.000 0.000 0.000 Cd
0.721 0.721 0.271 Hg
0.248 0.248 0.792 Pb
0.476 0.476 0.483 Pb
```

Calculated values
ΔE_f in eV/atom: 0.05
Calculated total energy in eV for the cell shown: -250.0
Energy above the lowest structure with this stoichiometry in meV per atom: 7.4

---

(8)
This record from the Alexandria database describes Cd2Hg2Pb at its PBEsol-relaxed geometry. The functional is SCAN.

```
Cd2Hg2Pb
1.0
-2.122 2.122 6.765
2.122 -2.122 6.765
2.122 2.122 -6.765
Cd Hg Pb
2 2 1
direct
0.250 0.750 0.500 Cd
0.750 0.250 0.500 Cd
0.103 0.103 0.000 Hg
0.897 0.897 0.000 Hg
0.500 0.500 0.000 Pb
```

Calculated values
ΔE_f in eV/atom: 0.05
Calculated total energy in eV for the cell shown: -272.7
Energy above the lowest structure with this stoichiometry in meV per atom: 17.0